# LiZn2Pd

LiZn2Pd after structural relaxation (PBE, OQMD via LeMat-Bulk).

Values from the calculation:
space-group type	F-43m (216)

a b c (Å): 4.272 4.272 4.272
angles (deg): 60.00 60.00 60.00
Element x y z (fractional)
Li 0.500 0.500 0.500
Zn 0.000 0.000 0.000
Zn 0.750 0.750 0.750
Pd 0.250 0.250 0.250



# LiZn2Pd

LiZn2Pd after structural relaxation (PBE, OQMD via LeMat-Bulk).

Values from the calculation:
space-group type	P4/mmm (123)

a b c (Å): 3.173 3.173 5.670
angles (deg): 90.00 90.00 90.00
Element x y z (fractional)
Pd 0.000 0.000 0.500
Zn 0.500 0.500 0.750
Zn 0.500 0.500 0.250
Li 0.000 0.000 0.000



# Li2ZrPd

Li2ZrPd after structural relaxation (PBE, OQMD via LeMat-Bulk).

Values from the calculation:
space-group type	F-43m (216)

a b c (Å): 4.528 4.528 4.528
angles (deg): 60.00 60.00 60.00
Element x y z (fractional)
Li 0.250 0.250 0.250
Li 0.500 0.500 0.500
Zr 0.000 0.000 0.000
Pd 0.750 0.750 0.750



# LiZr2Pd

LiZr2Pd after structural relaxation (PBE, OQMD via LeMat-Bulk).

Values from the calculation:
space-group type	F-43m (216)

a b c (Å): 4.694 4.694 4.694
angles (deg): 60.00 60.00 60.00
Site moments in Bohr magnetons follow the coordinates.
Element x y z (fractional)
Pd 0.250 0.250 0.250  0.03
Li 0.500 0.500 0.500  0.00
Zr 0.000 0.000 0.000  0.29
Zr 0.750 0.750 0.750  0.62



# LiPm2

LiPm2 after structural relaxation (PBE, OQMD via LeMat-Bulk).

Values from the calculation:
space-group type	Fd-3m (227)

a b c (Å): 6.618 6.618 6.618
angles (deg): 60.00 60.00 60.00
Element x y z (fractional)
Pm 0.625 0.125 0.625
Pm 0.625 0.625 0.625
Pm 0.125 0.625 0.625
Pm 0.625 0.625 0.125
Li 0.000 0.000 0.000
Li 0.250 0.250 0.250



# Li2Pm

Li2Pm after structural relaxation (PBE, OQMD via LeMat-Bulk).

Values from the calculation:
space-group type	Fm-3m (225)

a b c (Å): 4.954 4.954 4.954
angles (deg): 60.00 60.00 60.00
Site moments in Bohr magnetons follow the coordinates.
Element x y z (fractional)
Pm 0.000 0.000 0.000  0.60
Li 0.750 0.750 0.750  0.09
Li 0.250 0.250 0.250  0.09



Record-wise electronic total energy values, in eV per atom: -2.796, -2.791, -4.572, -6.042, -3.349, -2.102